Record 1
The following is a GGA-PBE calculation of crystalline ZnSbPb2 at its relaxed geometry, from the Alexandria database.

a b c (Å): 3.4780 3.4780 31.4506
angles (deg): 90.00 90.00 120.00
Positions (direct):
Zn: 0.0000 0.0000 0.0000
Zn: 0.3333 0.6667 0.6667
Zn: 0.6667 0.3333 0.3333
Sb: 0.0000 0.0000 0.5000
Sb: 0.3333 0.6667 0.1667
Sb: 0.6667 0.3333 0.8333
Pb: 0.0000 0.0000 0.2554
Pb: 0.0000 0.0000 0.7446
Pb: 0.3333 0.6667 0.4113
Pb: 0.3333 0.6667 0.9221
Pb: 0.6667 0.3333 0.0779
Pb: 0.6667 0.3333 0.5887

Values from the calculation:
- ΔE to the lowest computed polymorph (eV/atom) = 0.071
- V (Å³/f.u.) = 109.8
- space-group type = R-3m (166)
- VASP energy (eV per atom) = -3.029

=====

Record 2
The following is a GGA-PBE calculation of crystalline Cs3Sm2ZrS6 at its relaxed geometry, from the Alexandria database.

a b c (Å): 7.0439 7.0439 8.4217
angles (deg): 98.03 98.03 120.00
Positions (direct):
Cs: 0.0000 0.0000 0.0000
Cs: 0.3305 0.6695 0.0000
Cs: 0.6695 0.3305 0.0000
Sm: 0.1665 0.8335 0.5000
Sm: 0.8335 0.1665 0.5000
Zr: 0.5000 0.5000 0.5000
S: 0.1247 0.4390 0.3172
S: 0.2473 0.2473 0.6841
S: 0.4390 0.1247 0.3172
S: 0.5610 0.8753 0.6828
S: 0.7527 0.7527 0.3159
S: 0.8753 0.5610 0.6828

Values from the calculation:
- V (Å³/f.u.) = 347.5
- space-group type = C2/m (12)
- VASP energy (eV per atom) = -5.440

=====

Record 3
The following is a GGA-PBE calculation of crystalline In2Ga2Pt at its relaxed geometry, from the Alexandria database.

a b c (Å): 3.5824 3.5824 16.5602
angles (deg): 90.00 90.00 90.00
Positions (direct):
In: 0.0000 0.0000 0.0922
In: 0.0000 0.0000 0.9078
In: 0.5000 0.5000 0.4078
In: 0.5000 0.5000 0.5922
Ga: 0.0000 0.5000 0.2500
Ga: 0.0000 0.5000 0.7500
Ga: 0.5000 0.0000 0.2500
Ga: 0.5000 0.0000 0.7500
Pt: 0.0000 0.0000 0.5000
Pt: 0.5000 0.5000 0.0000

Values from the calculation:
- ΔE to the lowest computed polymorph (eV/atom) = 0.144
- V (Å³/f.u.) = 106.3
- energy of formation (eV per atom) = -0.01
- space-group type = I4/mmm (139)
- VASP energy (eV per atom) = -3.523

=====

Record 4
The following is a GGA-PBE calculation of crystalline CaNiW2 at its relaxed geometry, from the Alexandria database.

a b c (Å): 3.4174 4.4019 9.0194
angles (deg): 90.00 90.00 90.00
Positions (direct):
Ca: 0.0000 0.0000 0.0000
Ca: 0.5000 0.5000 0.0000
Ni: 0.0000 0.5000 0.2562
Ni: 0.5000 0.0000 0.2562
W: 0.0000 0.0000 0.4585
W: 0.0000 0.5000 0.7019
W: 0.5000 0.0000 0.7019
W: 0.5000 0.5000 0.4585

Values from the calculation:
- ΔE to the lowest computed polymorph (eV/atom) = 0.019
- V (Å³/f.u.) = 67.8
- energy of formation (eV per atom) = 0.46
- space-group type = Cmm2 (35)
- VASP energy (eV per atom) = -7.967

=====

Record 5
The following is a GGA-PBE calculation of crystalline MnCrS3 at its relaxed geometry, from the Alexandria database.

a b c (Å): 4.5698 4.5698 4.5698
angles (deg): 90.00 90.00 90.00
Positions (direct):
Mn: 0.0000 0.0000 0.0000
Cr: 0.5000 0.5000 0.5000
S: 0.0000 0.5000 0.5000
S: 0.5000 0.0000 0.5000
S: 0.5000 0.5000 0.0000

Values from the calculation:
- ΔE to the lowest computed polymorph (eV/atom) = 0.636
- V (Å³/f.u.) = 95.4
- space-group type = Pm-3m (221)
- VASP energy (eV per atom) = -6.053

=====

Record 6
The following is a GGA-PBE calculation of crystalline Tl2AgTeW at its relaxed geometry, from the Alexandria database.

a b c (Å): 6.3571 6.3571 5.1073
angles (deg): 90.00 90.00 90.00
Positions (direct):
Tl: 0.0000 0.5000 0.0000
Tl: 0.5000 0.0000 0.0000
Ag: 0.0000 0.0000 0.5000
Te: 0.0000 0.0000 0.0000
W: 0.5000 0.5000 0.5000

Values from the calculation:
- V (Å³/f.u.) = 206.4
- space-group type = P4/mmm (123)
- VASP energy (eV per atom) = -3.178

=====

Record 7
The following is a GGA-PBE calculation of crystalline LiSe at its relaxed geometry, from the Alexandria database.

a b c (Å): 6.2837 6.2837 4.7827
angles (deg): 90.00 90.00 90.00
Positions (direct):
Li: 0.2389 0.2389 0.0000
Li: 0.2611 0.7389 0.5000
Li: 0.7389 0.2611 0.5000
Li: 0.7611 0.7611 0.0000
Se: 0.1370 0.1370 0.5000
Se: 0.3630 0.6370 0.0000
Se: 0.6370 0.3630 0.0000
Se: 0.8630 0.8630 0.5000

Values from the calculation:
- ΔE to the lowest computed polymorph (eV/atom) = 0.067
- V (Å³/f.u.) = 47.2
- space-group type = P4_2/mnm (136)
- VASP energy (eV per atom) = -3.541

=====

Record 8
The following is a GGA-PBE calculation of crystalline V8Si2C3 at its relaxed geometry, from the Alexandria database.

a b c (Å): 6.5850 6.5850 5.0618
angles (deg): 102.14 102.14 52.89
Positions (direct):
V: 0.0958 0.0958 0.9132
V: 0.1560 0.6595 0.6121
V: 0.3405 0.8440 0.3879
V: 0.4009 0.4009 0.1100
V: 0.5991 0.5991 0.8900
V: 0.6595 0.1560 0.6121
V: 0.8440 0.3405 0.3879
V: 0.9042 0.9042 0.0868
Si: 0.2469 0.2469 0.6596
Si: 0.7531 0.7531 0.3404
C: 0.2590 0.7410 0.0000
C: 0.5000 0.5000 0.5000
C: 0.7410 0.2590 0.0000

Values from the calculation:
- V (Å³/f.u.) = 170.1
- space-group type = C2/m (12)
- VASP energy (eV per atom) = -8.752

=====

Record 9
The following is a GGA-PBE calculation of crystalline BaTl3Cu at its relaxed geometry, from the Alexandria database.

a b c (Å): 6.5428 6.5428 6.5428
angles (deg): 90.00 90.00 90.00
Positions (direct):
Ba: 0.0000 0.0000 0.0000
Tl: 0.0000 0.0000 0.5000
Tl: 0.0000 0.5000 0.0000
Tl: 0.5000 0.0000 0.0000
Cu: 0.5000 0.5000 0.5000

Values from the calculation:
- ΔE to the lowest computed polymorph (eV/atom) = 1.112
- V (Å³/f.u.) = 280.1
- energy of formation (eV per atom) = 1.04
- space-group type = Pm-3m (221)
- VASP energy (eV per atom) = -1.584

=====

Record 10
The following is a GGA-PBE calculation of crystalline K3Be2PtO6 at its relaxed geometry, from the Alexandria database.

a b c (Å): 5.4749 5.4749 6.7580
angles (deg): 90.00 90.00 120.00
Positions (direct):
K: 0.0000 0.0000 0.0000
K: 0.3333 0.6667 0.7451
K: 0.6667 0.3333 0.2549
Be: 0.3333 0.6667 0.3362
Be: 0.6667 0.3333 0.6638
Pt: 0.0000 0.0000 0.5000
O: 0.1710 0.3419 0.3205
O: 0.1710 0.8290 0.3205
O: 0.3419 0.1710 0.6795
O: 0.6581 0.8290 0.3205
O: 0.8290 0.1710 0.6795
O: 0.8290 0.6581 0.6795

Values from the calculation:
- V (Å³/f.u.) = 175.4
- space-group type = P-3m1 (164)
- VASP energy (eV per atom) = -5.398

=====

Record 11
The following is a GGA-PBE calculation of crystalline YFeRu2 at its relaxed geometry, from the Alexandria database.

a b c (Å): 6.3965 6.3965 6.3965
angles (deg): 90.00 90.00 90.00
Positions (direct):
Y: 0.0000 0.0000 0.0000
Y: 0.0000 0.5000 0.5000
Y: 0.5000 0.0000 0.5000
Y: 0.5000 0.5000 0.0000
Fe: 0.2500 0.2500 0.2500
Fe: 0.2500 0.7500 0.7500
Fe: 0.7500 0.2500 0.7500
Fe: 0.7500 0.7500 0.2500
Ru: 0.0000 0.0000 0.5000
Ru: 0.0000 0.5000 0.0000
Ru: 0.2500 0.2500 0.7500
Ru: 0.2500 0.7500 0.2500
Ru: 0.5000 0.0000 0.0000
Ru: 0.5000 0.5000 0.5000
Ru: 0.7500 0.2500 0.2500
Ru: 0.7500 0.7500 0.7500

Values from the calculation:
- ΔE to the lowest computed polymorph (eV/atom) = 0.147
- V (Å³/f.u.) = 65.4
- energy of formation (eV per atom) = 0.22
- space-group type = F-43m (216)
- VASP energy (eV per atom) = -8.152

=====

Record 12
The following is a GGA-PBE calculation of crystalline Pm3Cu2Ni7 at its relaxed geometry, from the Alexandria database.

a b c (Å): 8.7122 8.7122 8.7122
angles (deg): 33.86 33.86 33.86
Positions (direct):
Pm: 0.0000 0.0000 0.0000
Pm: 0.1391 0.1391 0.1391
Pm: 0.8609 0.8609 0.8609
Cu: 0.3333 0.3333 0.3333
Cu: 0.6667 0.6667 0.6667
Ni: 0.0823 0.5822 0.5822
Ni: 0.4178 0.4178 0.9177
Ni: 0.4178 0.9177 0.4178
Ni: 0.5000 0.5000 0.5000
Ni: 0.5822 0.0823 0.5822
Ni: 0.5822 0.5822 0.0823
Ni: 0.9177 0.4178 0.4178

Values from the calculation:
- V (Å³/f.u.) = 182.9
- energy of formation (eV per atom) = -0.33
- space-group type = R-3m (166)
- VASP energy (eV per atom) = -5.569